This record from the Open Quantum Materials Database describes crystalline OsPdW at its relaxed geometry. The functional is PBE-GGA.

a = 4.251 Å, b = 4.251 Å, c = 4.251 Å
α = 60.00°, β = 60.00°, γ = 60.00°
Fractional coordinates of all 3 atoms:
Os: 0.000 0.000 0.000
Pd: 0.750 0.750 0.750
W: 0.250 0.250 0.250

Results
E above lowest polymorph = 135 meV/atom
ρ = 14.69 Mg/m³
calculated formation energy = 0.650 eV/atom

This record from the Open Quantum Materials Database describes crystalline TbTm2Si4Ag4 at its relaxed geometry. The functional is PBE-GGA.

a = 8.145 Å, b = 8.145 Å, c = 8.145 Å
α = 149.98°, β = 129.18°, γ = 60.16°
Fractional coordinates of all 11 atoms:
Tb: 0.000 0.000 0.000
Tm: 0.376 0.876 0.500
Tm: 0.624 0.124 0.500
Si: 0.217 0.217 0.000
Si: 0.325 0.500 0.825
Si: 0.675 0.500 0.175
Si: 0.783 0.783 0.000
Ag: 0.030 0.331 0.699
Ag: 0.368 0.669 0.699
Ag: 0.632 0.331 0.301
Ag: 0.970 0.669 0.301

Results
calculated total energy = -52.0 eV/cell
ρ = 8.31 Mg/m³

This record from the Open Quantum Materials Database describes crystalline SmAlMo at its relaxed geometry. The functional is PBE-GGA.

a = 4.627 Å, b = 4.627 Å, c = 4.627 Å
α = 60.00°, β = 60.00°, γ = 60.00°
Fractional coordinates of all 3 atoms:
Sm: 0.000 0.000 0.000
Al: 0.500 0.500 0.500
Mo: 0.750 0.750 0.750

Results
E above lowest polymorph = 0 meV/atom
ρ = 6.48 Mg/m³

This record from the Open Quantum Materials Database describes crystalline SrGeOs at its relaxed geometry. The functional is PBE-GGA.

a = 4.821 Å, b = 4.821 Å, c = 4.821 Å
α = 60.00°, β = 60.00°, γ = 60.00°
Fractional coordinates of all 3 atoms:
Sr: 0.000 0.000 0.000
Ge: 0.750 0.750 0.750
Os: 0.250 0.250 0.250

Results
calculated total energy = -12.7 eV/cell
ρ = 7.35 Mg/m³

This record from the Open Quantum Materials Database describes crystalline InAgAsO at its relaxed geometry. The functional is PBE-GGA.

a = 3.338 Å, b = 7.064 Å, c = 6.966 Å
α = 90.00°, β = 90.00°, γ = 90.00°
Fractional coordinates of all 8 atoms:
In: 0.000 0.176 0.000
In: 0.000 0.824 0.500
Ag: 0.500 0.366 0.590
Ag: 0.500 0.634 0.090
As: 0.000 0.180 0.383
As: 0.000 0.820 0.883
O: 0.500 0.337 0.919
O: 0.500 0.663 0.419

Results
E above lowest polymorph = 0 meV/atom
ρ = 6.34 Mg/m³

This record from the Open Quantum Materials Database describes crystalline BaPrTe2AuS at its relaxed geometry. The functional is PBE-GGA.

a = 7.846 Å, b = 7.846 Å, c = 10.994 Å
α = 90.00°, β = 90.00°, γ = 147.01°
Fractional coordinates of all 12 atoms:
Ba: 0.225 0.775 0.750
Ba: 0.775 0.225 0.250
Pr: 0.500 0.500 0.000
Pr: 0.500 0.500 0.500
Te: 0.148 0.852 0.060
Te: 0.148 0.852 0.440
Te: 0.852 0.148 0.560
Te: 0.852 0.148 0.940
Au: 0.025 0.975 0.250
Au: 0.975 0.025 0.750
S: 0.430 0.570 0.250
S: 0.570 0.430 0.750

Results
calculated total energy = -57.0 eV/cell
ρ = 6.87 Mg/m³

This record from the Open Quantum Materials Database describes crystalline YInPt at its relaxed geometry. The functional is PBE-GGA.

a = 7.498 Å, b = 7.498 Å, c = 4.036 Å
α = 90.00°, β = 90.00°, γ = 120.00°
Fractional coordinates of all 9 atoms:
Y: 0.000 0.592 0.000
Y: 0.408 0.408 0.000
Y: 0.592 0.000 0.000
In: 0.000 0.256 0.500
In: 0.256 0.000 0.500
In: 0.744 0.744 0.500
Pt: 0.000 0.000 0.000
Pt: 0.333 0.667 0.500
Pt: 0.667 0.333 0.500

Results
calculated total energy = -54.7 eV/cell
ρ = 10.11 Mg/m³

This record from the Open Quantum Materials Database describes crystalline Sm3Mg3ZnPt2 at its relaxed geometry. The functional is PBE-GGA.

a = 7.570 Å, b = 7.570 Å, c = 4.102 Å
α = 90.00°, β = 90.00°, γ = 120.00°
Fractional coordinates of all 9 atoms:
Sm: 0.000 0.582 0.000
Sm: 0.418 0.418 0.000
Sm: 0.582 0.000 0.000
Mg: 0.000 0.248 0.500
Mg: 0.248 0.000 0.500
Mg: 0.752 0.752 0.500
Zn: 0.000 0.000 0.000
Pt: 0.333 0.667 0.500
Pt: 0.667 0.333 0.500

Results
calculated total energy = -38.5 eV/cell
ρ = 7.99 Mg/m³

This record from the Open Quantum Materials Database describes crystalline DyAgAsO at its relaxed geometry. The functional is PBE-GGA.

a = 5.740 Å, b = 5.740 Å, c = 4.765 Å
α = 90.00°, β = 90.00°, γ = 90.00°
Fractional coordinates of all 8 atoms:
Dy: 0.250 0.750 0.000
Dy: 0.750 0.250 0.000
Ag: 0.250 0.250 0.497
Ag: 0.750 0.750 0.503
As: 0.250 0.250 0.997
As: 0.750 0.750 0.003
O: 0.250 0.750 0.500
O: 0.750 0.250 0.500

Results
E above lowest polymorph = 643 meV/atom
ρ = 7.64 Mg/m³

This record from the Open Quantum Materials Database describes crystalline HfNbZnNi at its relaxed geometry. The functional is PBE-GGA.

a = 4.539 Å, b = 4.539 Å, c = 4.539 Å
α = 60.00°, β = 60.00°, γ = 60.00°
Fractional coordinates of all 4 atoms:
Hf: 0.000 0.000 0.000
Nb: 0.250 0.250 0.250
Zn: 0.500 0.500 0.500
Ni: 0.750 0.750 0.750

Results
E above lowest polymorph = 0 meV/atom
ρ = 9.93 Mg/m³
calculated formation energy = 0.131 eV/atom

This record from the Open Quantum Materials Database describes crystalline FeTcGeW at its relaxed geometry. The functional is PBE-GGA.

a = 4.282 Å, b = 4.282 Å, c = 4.282 Å
α = 60.00°, β = 60.00°, γ = 60.00°
Fractional coordinates of all 4 atoms:
Fe: 0.000 0.000 0.000
Tc: 0.500 0.500 0.500
Ge: 0.750 0.750 0.750
W: 0.250 0.250 0.250

Results
E above lowest polymorph = 0 meV/atom
ρ = 12.27 Mg/m³

This record from the Open Quantum Materials Database describes crystalline TlBi2Mo at its relaxed geometry. The functional is PBE-GGA.

a = 5.305 Å, b = 5.305 Å, c = 5.305 Å
α = 60.00°, β = 60.00°, γ = 60.00°
Fractional coordinates of all 4 atoms:
Tl: 0.000 0.000 0.000
Bi: 0.500 0.500 0.500
Bi: 0.750 0.750 0.750
Mo: 0.250 0.250 0.250

Results
calculated total energy = -18.0 eV/cell
ρ = 11.30 Mg/m³

This record from the Open Quantum Materials Database describes crystalline NaLuHg at its relaxed geometry. The functional is PBE-GGA.

a = 5.023 Å, b = 5.023 Å, c = 5.023 Å
α = 60.00°, β = 60.00°, γ = 60.00°
Fractional coordinates of all 3 atoms:
Na: 0.000 0.000 0.000
Lu: 0.750 0.750 0.750
Hg: 0.500 0.500 0.500

Results
E above lowest polymorph = 285 meV/atom
ρ = 7.38 Mg/m³

This record from the Open Quantum Materials Database describes crystalline Ho2Mg at its relaxed geometry. The functional is PBE-GGA.

a = 6.355 Å, b = 6.355 Å, c = 6.355 Å
α = 60.00°, β = 60.00°, γ = 60.00°
Fractional coordinates of all 6 atoms:
Ho: 0.000 0.000 0.000
Ho: 0.000 0.000 0.500
Ho: 0.000 0.500 0.000
Ho: 0.500 0.000 0.000
Mg: 0.375 0.375 0.375
Mg: 0.625 0.625 0.625

Results
calculated total energy = -19.7 eV/cell
ρ = 6.48 Mg/m³

This record from the Open Quantum Materials Database describes crystalline SmCdNi at its relaxed geometry. The functional is PBE-GGA.

a = 4.778 Å, b = 4.778 Å, c = 4.778 Å
α = 60.00°, β = 60.00°, γ = 60.00°
Fractional coordinates of all 3 atoms:
Sm: 0.000 0.000 0.000
Cd: 0.750 0.750 0.750
Ni: 0.250 0.250 0.250

Results
ρ = 6.92 Mg/m³
calculated formation energy = 0.363 eV/atom

This record from the Open Quantum Materials Database describes crystalline Zr4FeNiC2 at its relaxed geometry. The functional is PBE-GGA.

a = 3.299 Å, b = 3.299 Å, c = 13.244 Å
α = 90.00°, β = 90.00°, γ = 120.00°
Fractional coordinates of all 8 atoms:
Zr: 0.000 0.000 0.148
Zr: 0.000 0.000 0.852
Zr: 0.333 0.667 0.350
Zr: 0.333 0.667 0.650
Fe: 0.000 0.000 0.500
Ni: 0.333 0.667 0.000
C: 0.667 0.333 0.246
C: 0.667 0.333 0.754

Results
calculated total energy = -69.4 eV/cell
ρ = 6.70 Mg/m³

This record from the Open Quantum Materials Database describes crystalline Cs4Cu2SbAs at its relaxed geometry. The functional is PBE-GGA.

a = 6.725 Å, b = 6.983 Å, c = 6.983 Å
α = 111.27°, β = 90.00°, γ = 90.00°
Fractional coordinates of all 8 atoms:
Cs: 0.000 0.162 0.838
Cs: 0.000 0.838 0.162
Cs: 0.500 0.156 0.494
Cs: 0.500 0.494 0.156
Cu: 0.284 0.682 0.682
Cu: 0.716 0.682 0.682
Sb: 0.000 0.467 0.467
As: 0.500 0.913 0.913

Results
calculated total energy = -22.1 eV/cell
ρ = 4.65 Mg/m³

This record from the Open Quantum Materials Database describes crystalline ZnGeSb at its relaxed geometry. The functional is PBE-GGA.

a = 4.721 Å, b = 4.721 Å, c = 4.721 Å
α = 60.00°, β = 60.00°, γ = 60.00°
Fractional coordinates of all 3 atoms:
Zn: 0.000 0.000 0.000
Ge: 0.750 0.750 0.750
Sb: 0.500 0.500 0.500

Results
E above lowest polymorph = 0 meV/atom
ρ = 5.80 Mg/m³

This record from the Open Quantum Materials Database describes crystalline GdCuSnS3 at its relaxed geometry. The functional is PBE-GGA.

a = 6.711 Å, b = 6.711 Å, c = 10.321 Å
α = 90.00°, β = 90.00°, γ = 146.16°
Fractional coordinates of all 12 atoms:
Gd: 0.000 0.000 0.000
Gd: 0.000 0.000 0.500
Cu: 0.471 0.529 0.750
Cu: 0.529 0.471 0.250
Sn: 0.242 0.758 0.250
Sn: 0.758 0.242 0.750
S: 0.080 0.920 0.750
S: 0.359 0.641 0.572
S: 0.359 0.641 0.928
S: 0.641 0.359 0.072
S: 0.641 0.359 0.428
S: 0.920 0.080 0.250

Results
E above lowest polymorph = 4 meV/atom
ρ = 5.59 Mg/m³

This record from the Open Quantum Materials Database describes crystalline TbLuPbC at its relaxed geometry. The functional is PBE-GGA.

a = 3.606 Å, b = 3.606 Å, c = 15.983 Å
α = 90.00°, β = 90.00°, γ = 120.00°
Fractional coordinates of all 8 atoms:
Tb: 0.333 0.667 0.000
Tb: 0.667 0.333 0.500
Lu: 0.333 0.667 0.336
Lu: 0.667 0.333 0.836
Pb: 0.333 0.667 0.670
Pb: 0.667 0.333 0.170
C: 0.000 0.000 0.415
C: 0.000 0.000 0.915

Results
E above lowest polymorph = 2 meV/atom
ρ = 10.20 Mg/m³